(1)
La2Hf2Fe | Alexandria via LeMat-Bulk | PBE | relaxed; N(E_F) = 8.86 states/eV/cell; E_form = 5.83 eV/f.u.
1.0
-0.205 1.971 3.330
-0.820 -3.281 1.892
7.700 -1.968 3.893
Fe La Hf
1 2 2
direct
0.000 0.000 0.000
0.750 0.250 0.500
0.250 0.750 0.500
0.423 0.423 0.155
0.577 0.577 0.845


(2)
LaHf2FeN4 | Alexandria via LeMat-Bulk | PBE | relaxed; raw formation energy = -1.34 eV per atom; N(E_F) = 6.77 states/eV/cell
1.0
-3.191 -0.650 0.228
2.346 -4.365 -2.995
1.806 -5.539 9.486
Hf N La Fe
4 8 2 2
direct
0.367 0.734 0.949
0.633 0.266 0.449
0.633 0.266 0.051
0.367 0.734 0.551
0.264 0.528 0.390
0.736 0.472 0.890
0.431 0.863 0.750
0.736 0.472 0.610
0.264 0.528 0.110
0.000 0.000 0.500
0.000 0.000 0.000
0.569 0.137 0.250
0.899 0.797 0.250
0.101 0.203 0.750
0.838 0.676 0.750
0.162 0.324 0.250